Version A
{
  "formula": "Pr2HoTh",
  "functional": "PBE",
  "state": "relaxed",
  "magmom_total_mub_per_atom": 0.00,
  "vol_a3_per_atom": 33.9,
  "cell": [[7.236, 0.000, 0.000], [0.000, 6.298, -0.251], [-3.618, -1.818, 6.015]],
  "species": ["Th", "Th", "Ho", "Ho", "Pr", "Pr", "Pr", "Pr"],
  "frac_coords": [[0.885, 0.250, 0.000], [0.115, 0.750, 0.000], [0.628, 0.750, 0.000], [0.372, 0.250, 0.000], [0.879, 0.251, 0.503], [0.376, 0.249, 0.497], [0.121, 0.749, 0.497], [0.624, 0.751, 0.503]]
}

Version B
{
  "formula": "Pr2HoTh",
  "functional": "PBE",
  "state": "relaxed",
  "magmom_total_mub_per_atom": 0.00,
  "vol_a3_per_atom": 33.8,
  "cell": [[6.163, 0.697, 1.023], [3.532, 5.098, 1.023], [1.232, 0.736, 4.924]],
  "species": ["Pr", "Pr", "Ho", "Th"],
  "frac_coords": [[0.250, 0.250, 0.250], [0.000, 0.000, 0.000], [0.750, 0.750, 0.750], [0.500, 0.500, 0.500]]
}

Version C
{
  "formula": "Pr2HoTh",
  "functional": "PBE",
  "state": "relaxed",
  "magmom_total_mub_per_atom": 0.00,
  "vol_a3_per_atom": 34.0,
  "cell": [[-4.726, 0.908, 3.184], [-0.306, -2.091, 5.370], [0.207, 3.592, 4.511]],
  "species": ["Th", "Pr", "Pr", "Ho"],
  "frac_coords": [[0.500, 0.500, 0.500], [0.250, 0.250, 0.250], [0.750, 0.750, 0.750], [0.000, 0.000, 0.000]]
}

version A is the most stable structure; the next one sits 0.007 eV/atom above it.

Version A
{
  "formula": "Pr4Ho5Th2",
  "functional": "PBE",
  "state": "relaxed",
  "magmom_total_mub_per_atom": 0.00,
  "vol_a3_per_atom": 33.8,
  "cell": [[9.469, -5.381, 5.635], [10.710, -5.464, 2.411], [4.289, 7.651, 1.455]],
  "species": ["Ho", "Ho", "Ho", "Ho", "Ho", "Pr", "Pr", "Pr", "Pr", "Th", "Th"],
  "frac_coords": [[0.813, 0.813, 0.470], [0.865, 0.865, 0.094], [0.135, 0.135, 0.906], [0.187, 0.187, 0.530], [0.500, 0.500, 0.000], [0.281, 0.281, 0.830], [0.719, 0.719, 0.170], [0.088, 0.088, 0.275], [0.912, 0.912, 0.725], [0.955, 0.955, 0.350], [0.045, 0.045, 0.650]]
}

Version B
{
  "formula": "Pr4Ho5Th2",
  "functional": "PBE",
  "state": "relaxed",
  "magmom_total_mub_per_atom": 0.00,
  "vol_a3_per_atom": 34.3,
  "cell": [[3.517, 0.000, 0.000], [0.000, 11.654, 0.000], [-1.758, -5.827, 9.206]],
  "species": ["Ho", "Ho", "Ho", "Ho", "Ho", "Th", "Th", "Pr", "Pr", "Pr", "Pr"],
  "frac_coords": [[0.181, 0.473, 0.362], [0.819, 0.527, 0.638], [0.500, 0.000, 0.000], [0.181, 0.889, 0.362], [0.819, 0.111, 0.638], [0.799, 0.799, 0.598], [0.201, 0.201, 0.402], [0.408, 0.408, 0.817], [0.000, 0.261, 0.000], [0.592, 0.592, 0.183], [0.000, 0.739, 0.000]]
}

version A is the most stable structure; the next one sits 0.045 eV/atom above it.

Version A
{
  "formula": "Pr2Ho2Th",
  "functional": "PBE",
  "state": "relaxed",
  "magmom_total_mub_per_atom": 0.00,
  "vol_a3_per_atom": 34.9,
  "cell": [[-0.896, 4.537, -0.073], [-4.517, -0.884, 0.464], [3.483, -1.543, 7.910]],
  "species": ["Pr", "Pr", "Ho", "Ho", "Th"],
  "frac_coords": [[0.250, 0.750, 0.500], [0.750, 0.250, 0.500], [0.593, 0.593, 0.185], [0.407, 0.407, 0.815], [0.000, 0.000, 0.000]]
}

Version B
{
  "formula": "Pr2Ho2Th",
  "functional": "PBE",
  "state": "relaxed",
  "magmom_total_mub_per_atom": 0.00,
  "vol_a3_per_atom": 33.2,
  "cell": [[3.590, 0.000, 0.444], [1.767, 3.125, 0.444], [-0.009, -0.005, 14.796]],
  "species": ["Pr", "Pr", "Ho", "Ho", "Th"],
  "frac_coords": [[0.201, 0.201, 0.396], [0.799, 0.799, 0.604], [0.397, 0.397, 0.809], [0.603, 0.603, 0.191], [0.000, 0.000, 0.000]]
}

version B is the most stable structure; the next one sits 0.411 eV/atom above it.

Version A
{
  "formula": "Pr5Ho4Th2",
  "functional": "PBE",
  "state": "relaxed",
  "magmom_total_mub_per_atom": 0.00,
  "vol_a3_per_atom": 34.1,
  "cell": [[-1.334, 2.783, -1.727], [1.832, -3.967, -7.807], [-10.524, -5.488, -0.712]],
  "species": ["Pr", "Pr", "Pr", "Pr", "Pr", "Th", "Th", "Ho", "Ho", "Ho", "Ho"],
  "frac_coords": [[0.000, 0.810, 0.164], [0.000, 0.190, 0.836], [0.000, 0.425, 0.293], [0.000, 0.500, 0.000], [0.000, 0.575, 0.707], [0.000, 0.957, 0.632], [0.000, 0.043, 0.368], [0.500, 0.161, 0.108], [0.500, 0.299, 0.548], [0.500, 0.701, 0.452], [0.500, 0.839, 0.892]]
}

Version B
{
  "formula": "Pr5Ho4Th2",
  "functional": "PBE",
  "state": "relaxed",
  "magmom_total_mub_per_atom": 0.00,
  "vol_a3_per_atom": 35.4,
  "cell": [[-2.806, -0.979, -1.890], [-3.158, -3.165, 6.330], [-3.379, 14.466, 0.803]],
  "species": ["Th", "Th", "Pr", "Pr", "Pr", "Pr", "Pr", "Ho", "Ho", "Ho", "Ho"],
  "frac_coords": [[0.899, 0.899, 0.798], [0.101, 0.101, 0.202], [0.500, 0.000, 0.000], [0.805, 0.547, 0.610], [0.195, 0.937, 0.390], [0.195, 0.453, 0.390], [0.805, 0.063, 0.610], [0.000, 0.678, 0.000], [0.000, 0.322, 0.000], [0.600, 0.600, 0.199], [0.400, 0.400, 0.801]]
}

version A is the most stable structure; the next one sits 0.274 eV/atom above it.

Version A
{
  "formula": "PrHo6Th",
  "functional": "PBE",
  "state": "relaxed",
  "magmom_total_mub_per_atom": 0.00,
  "vol_a3_per_atom": 31.7,
  "cell": [[5.024, 0.000, 0.000], [0.000, 5.024, 0.000], [0.000, 0.000, 10.061]],
  "species": ["Ho", "Ho", "Ho", "Ho", "Ho", "Ho", "Pr", "Th"],
  "frac_coords": [[0.500, 0.500, 0.500], [0.500, 0.500, 0.000], [0.000, 0.500, 0.255], [0.500, 0.000, 0.745], [0.500, 0.000, 0.255], [0.000, 0.500, 0.745], [0.000, 0.000, 0.000], [0.000, 0.000, 0.500]]
}

Version B
{
  "formula": "PrHo6Th",
  "functional": "PBE",
  "state": "relaxed",
  "magmom_total_mub_per_atom": 0.00,
  "vol_a3_per_atom": 32.1,
  "cell": [[-3.968, -3.089, -4.172], [3.306, -5.600, 1.032], [-7.243, -0.094, 1.963]],
  "species": ["Ho", "Ho", "Ho", "Ho", "Ho", "Ho", "Pr", "Th"],
  "frac_coords": [[0.081, 0.732, 0.463], [0.448, 0.236, 0.473], [0.502, 0.747, 0.999], [0.552, 0.764, 0.527], [0.498, 0.253, 0.001], [0.919, 0.268, 0.537], [0.000, 0.000, 0.000], [0.000, 0.500, 0.000]]
}

version A is the most stable structure; the next one sits 0.193 eV/atom above it.

Version A
{
  "formula": "Pr5Ho12Th2",
  "functional": "PBE",
  "state": "relaxed",
  "magmom_total_mub_per_atom": 0.00,
  "vol_a3_per_atom": 33.7,
  "cell": [[-4.962, -1.837, -7.614], [-4.809, -0.024, 8.786], [-4.781, 7.163, 1.388]],
  "species": ["Ho", "Ho", "Ho", "Ho", "Ho", "Ho", "Ho", "Ho", "Ho", "Ho", "Ho", "Ho", "Pr", "Pr", "Pr", "Pr", "Pr", "Th", "Th"],
  "frac_coords": [[0.045, 0.090, 0.816], [0.955, 0.910, 0.184], [0.825, 0.231, 0.556], [0.969, 0.294, 0.081], [0.406, 0.231, 0.556], [0.325, 0.294, 0.081], [0.675, 0.706, 0.919], [0.422, 0.843, 0.740], [0.031, 0.706, 0.919], [0.594, 0.769, 0.444], [0.175, 0.769, 0.444], [0.578, 0.157, 0.260], [0.000, 0.000, 0.500], [0.278, 0.556, 0.233], [0.722, 0.444, 0.767], [0.763, 0.526, 0.310], [0.237, 0.474, 0.690], [0.333, 0.000, 0.000], [0.667, 0.000, 0.000]]
}

Version B
{
  "formula": "Pr5Ho12Th2",
  "functional": "PBE",
  "state": "relaxed",
  "magmom_total_mub_per_atom": 0.00,
  "vol_a3_per_atom": 32.5,
  "cell": [[-1.869, -1.646, 5.650], [7.099, -3.745, 0.154], [-0.442, 14.666, 1.845]],
  "species": ["Pr", "Pr", "Pr", "Pr", "Pr", "Ho", "Ho", "Ho", "Ho", "Ho", "Ho", "Ho", "Ho", "Ho", "Ho", "Ho", "Ho", "Th", "Th"],
  "frac_coords": [[0.266, 0.478, 0.556], [0.000, 0.000, 0.500], [0.836, 0.311, 0.868], [0.734, 0.522, 0.444], [0.164, 0.689, 0.132], [0.475, 0.050, 0.391], [0.107, 0.795, 0.921], [0.947, 0.104, 0.286], [0.685, 0.627, 0.234], [0.628, 0.743, 0.025], [0.215, 0.575, 0.338], [0.785, 0.425, 0.662], [0.372, 0.257, 0.975], [0.525, 0.950, 0.609], [0.893, 0.205, 0.079], [0.315, 0.373, 0.766], [0.053, 0.896, 0.714], [0.578, 0.842, 0.817], [0.422, 0.158, 0.183]]
}

version B is the most stable structure; the next one sits 0.205 eV/atom above it.